[1]
DFT (GGA-PBE) results for TiTlSiBi2 after structural relaxation.

Output
**Crystal system**: tetragonal
**Uncorrected formation energy**: 508 meV per atom
**SG**: No. 123
**Total magnetic moment**: 0.0 μB/f.u.
**Calculated total energy**: -4.181 eV/atom

a b c (Å): 5.559 5.559 4.808
angles (deg): 90.00 90.00 90.00
Atoms (fractional coordinates):
Ti1 0.000 0.000 0.000
Tl1 0.500 0.500 0.000
Si1 0.000 0.000 0.500
Bi1 0.000 0.500 0.500
Bi2 0.500 0.000 0.500

=====

[2]
DFT (GGA-PBE) results for YTi2SiBi after structural relaxation.

Output
**Crystal system**: tetragonal
**Uncorrected formation energy**: 1223 meV per atom
**SG**: No. 123
**Total magnetic moment**: 0.0 μB/f.u.
**Calculated total energy**: -5.089 eV/atom

a b c (Å): 4.981 4.981 5.196
angles (deg): 90.00 90.00 90.00
Atoms (fractional coordinates):
Y1 0.000 0.000 0.000
Ti1 0.000 0.500 0.000
Ti2 0.500 0.000 0.000
Si1 0.000 0.000 0.500
Bi1 0.500 0.500 0.500